1.
Entry from Alexandria: a relaxed structure of KInSi (GGA-PBE).

abc: 3.8089 6.5542 8.6234
angles: 101.86 90.01 106.76
Last column: nearest neighbours and their distance in Å.
Space group P1 (No. 1)
Asymmetric unit:
K 0.0000 0.0000 0.0000 x1  6 Si 3.35-3.75
K 0.1806 0.3614 0.6466 x1  2 Si 3.37, 3 In 3.58-3.77
In 0.4469 0.8934 0.3948 x1  1 Si 2.76
In 0.7132 0.4271 0.3081 x1  3 Si 2.87-3.00
Si 0.3051 0.6111 0.1017 x1  2 Si 2.36
Si 0.7153 0.4306 0.9758 x1  2 Si 2.36

Output
Fermi-level density of states = 1.1 states/eV/f.u.
E_form (uncorrected) = 0.033 eV/f.u.



2.
Entry from Alexandria: a relaxed structure of KInSi (GGA-PBE).

abc: 3.7051 32.6299 3.2311
angles: 90.00 90.00 90.00
Last column: nearest neighbours and their distance in Å.
Space group Cmmm (No. 65)
Asymmetric unit:
K 0.0000 0.0642 0.0000 x4  2 K 3.23, 2 Si 3.28
In 0.0000 0.2886 0.5000 x4  2 Si 2.69
Si 0.0000 0.1518 0.5000 x4  2 In 2.69

Output
Fermi-level density of states = 1.4 states/eV/f.u.
E_form (uncorrected) = 1.456 eV/f.u.



3.
Entry from Alexandria: a relaxed structure of KInSi (GGA-PBE).

abc: 6.7862 3.8074 7.2163
angles: 90.00 93.18 90.00
Last column: nearest neighbours and their distance in Å.
Space group P2_1/m (No. 11)
Asymmetric unit:
K 0.0866 0.2500 0.2418 x2  3 Si 3.35-3.54, 1 In 3.65
In 0.3988 0.2500 0.6704 x2  3 Si 2.75-3.03
Si 0.3839 0.7500 0.9967 x2  2 Si 2.47, 1 In 2.75

Output
Fermi-level density of states = 0.9 states/eV/f.u.
E_form (uncorrected) = 0.100 eV/f.u.



4.
Entry from Alexandria: a relaxed structure of K2In2Si (GGA-PBE).

abc: 7.3446 7.3446 5.9691
angles: 90.00 90.00 90.00
Last column: nearest neighbours and their distance in Å.
Space group P4/mbm (No. 127)
Asymmetric unit:
K 0.1831 0.3169 0.0000 x4  6 In 3.50-3.83, 5 K 3.80
In 0.1409 0.6409 0.5000 x4  2 Si 2.83, 1 In 2.93
Si 0.0000 0.0000 0.5000 x2  4 In 2.83

Output
Fermi-level density of states = 5.6 states/eV/f.u.
E_form (uncorrected) = 0.530 eV/f.u.



5.
Entry from Alexandria: a relaxed structure of KInSi (GGA-PBE).

abc: 5.9593 3.2622 8.7748
angles: 90.00 104.87 90.00
Last column: nearest neighbours and their distance in Å.
Space group P2/m (No. 10)
Asymmetric unit:
K 0.1932 0.0000 0.2075 x2  2 K 3.26, 6 Si 3.41-3.62, 2 In 3.62
In 0.2640 0.5000 0.5850 x2  1 Si 2.71
Si 0.3291 0.5000 0.9021 x2  1 Si 2.30

Output
Fermi-level density of states = 1.1 states/eV/f.u.
E_form (uncorrected) = 0.381 eV/f.u.



6.
Entry from Alexandria: a relaxed structure of KInSi (GGA-PBE).

abc: 12.8203 6.7211 4.2048
angles: 90.00 90.00 90.00
Last column: nearest neighbours and their distance in Å.
Space group Pnma (No. 62)
Asymmetric unit:
K 0.2077 0.2500 0.0436 x4  5 Si 3.43-3.77, 2 In 3.69
In 0.0000 0.0000 0.5000 x4  2 Si 2.66
Si 0.0754 0.7500 0.0674 x4  2 In 2.66

Output
Fermi-level density of states = 0.8 states/eV/f.u.
E_form (uncorrected) = 0.444 eV/f.u.